The following is a PBE-GGA calculation of an optimized crystal structure of AlCu2TcF, from Alexandria.

Unit cell a=4.693 b=4.693 c=3.470 alpha=90.00 beta=90.00 gamma=90.00
Element x y z (fractional)
Al 0.000 0.000 0.000
Cu 0.000 0.500 0.000
Cu 0.500 0.000 0.000
Tc 0.500 0.500 0.500
F 0.000 0.000 0.500

Calculated values
Mass density   5.89 g/cm3
Symmetry   P4/mmm
Total moment   2.64 μB/f.u.
Formation energy without anion corrections   213 meV per atom
DOS at the Fermi energy   3.17 states/eV/f.u.

The following is a PBE-GGA calculation of an optimized crystal structure of Nb2ReHW, from Alexandria.

Unit cell a=4.526 b=4.526 c=3.429 alpha=90.00 beta=90.00 gamma=90.00
Element x y z (fractional)
Nb 0.000 0.500 0.000
Nb 0.500 0.000 0.000
Re 0.000 0.000 0.500
H 0.500 0.500 0.000
W 0.500 0.500 0.500

Calculated values
Energy above the lowest structure with this stoichiometry   0.018 eV/f.u.
Mass density   13.16 g/cm3
Symmetry   P4/mmm
Total moment   0.00 μB/f.u.
DOS at the Fermi energy   2.89 states/eV/f.u.

The following is a PBE-GGA calculation of an optimized crystal structure of Mg2TlCuSn, from Alexandria.

Unit cell a=5.045 b=5.045 c=4.958 alpha=90.00 beta=90.00 gamma=90.00
Element x y z (fractional)
Mg 0.000 0.500 0.000
Mg 0.500 0.000 0.000
Tl 0.000 0.000 0.500
Cu 0.500 0.500 0.000
Sn 0.500 0.500 0.500

Calculated values
Energy of formation   5.6 kJ/mol of atoms
Mass density   5.73 g/cm3
Symmetry   P4/mmm
Total moment   0.00 μB/f.u.
DOS at the Fermi energy   1.27 states/eV/f.u.

The following is a PBE-GGA calculation of an optimized crystal structure of Ca2ReRh, from Alexandria.

Unit cell a=2.945 b=2.945 c=9.120 alpha=90.00 beta=90.00 gamma=100.13
Element x y z (fractional)
Ca 0.000 0.000 0.231
Ca 0.000 0.000 0.769
Re 0.500 0.500 0.500
Rh 0.500 0.500 0.000

Calculated values
Energy of formation   40.0 kJ/mol of atoms
Mass density   7.87 g/cm3
Symmetry   Cmmm
Total moment   0.00 μB/f.u.
DOS at the Fermi energy   3.49 states/eV/f.u.

> Which of these has the lowest DOS at the Fermi energy?

Mg2TlCuSn

> Which value of mass density does entry 3 give?

5.73 g/cm3

> DOS at the Fermi energy of number 3 (Mg2TlCuSn)?

1.27 states/eV/f.u.